# PaSiNi2 PBE optimized geometry
# V	14.47	Å³/atom
# total DFT energy (no corrections)	-7.00	eV/atom
# raw formation energy	-0.38	eV/atom
data_PaSiNi2
_symmetry_space_group_name_H-M 'P 4/m m m'
_symmetry_Int_Tables_number 123
_symmetry_space_group_name_Hall '-P 4 2'
_cell_length_a 2.9468
_cell_length_b 2.9468
_cell_length_c 6.6653
_cell_angle_alpha 90.00
_cell_angle_beta 90.00
_cell_angle_gamma 90.00
loop_
_atom_site_label
_atom_site_type_symbol
_atom_site_fract_x
_atom_site_fract_y
_atom_site_fract_z
_atom_site_occupancy
Pa1 Pa 0.0000 0.0000 0.0000 1
Si1 Si 0.0000 0.0000 0.5000 1
Ni1 Ni 0.5000 0.5000 0.3090 1